No. 1
{"formula": "Mg2Zn", "functional": "meta-GGA SCAN", "state": "single point on PBEsol structure", "lattice_angstrom": [[3.095, 0.000, 0.000], [0.000, 3.095, 0.000], [-1.547, -1.547, 5.966]], "species": ["Zn", "Mg", "Mg"], "fractional_positions": [[0.500, 0.500, 0.000], [0.151, 0.151, 0.303], [0.849, 0.849, 0.697]], "total_magnetization_mub_per_cell": 0.010, "e_tot_ev_per_atom": -7.9017, "formation_enthalpy_0k_ev_per_atom": -0.081, "volume_a3_per_atom": 19.049, "n_ef_per_ev_cell": 1.06}


No. 2
{"formula": "ScNb3Ga", "functional": "meta-GGA SCAN", "state": "single point on PBEsol structure", "lattice_angstrom": [[-2.185, -2.732, -3.232], [3.361, -3.330, 0.543], [-2.572, -2.032, 3.456]], "species": ["Sc", "Nb", "Nb", "Nb", "Ga"], "fractional_positions": [[0.500, 0.500, 0.500], [0.000, 0.500, 0.000], [0.000, 0.000, 0.500], [0.500, 0.000, 0.000], [0.000, 0.000, 0.000]], "total_magnetization_mub_per_cell": 0.000, "e_tot_ev_per_atom": -25.2022, "formation_enthalpy_0k_ev_per_atom": 0.792, "volume_a3_per_atom": 21.609, "n_ef_per_ev_cell": 6.39}


No. 3
{"formula": "SnSeCl2O", "functional": "meta-GGA SCAN", "state": "single point on PBEsol structure", "lattice_angstrom": [[3.709, 0.000, 0.000], [0.000, 5.419, 0.000], [0.000, 0.000, 5.419]], "species": ["O", "Sn", "Se", "Cl", "Cl"], "fractional_positions": [[0.500, 0.000, 0.000], [0.500, 0.500, 0.500], [0.000, 0.000, 0.000], [0.000, 0.000, 0.500], [0.000, 0.500, 0.000]], "total_magnetization_mub_per_cell": 0.000, "e_tot_ev_per_atom": -15.8007, "volume_a3_per_atom": 21.780, "n_ef_per_ev_cell": 2.21, "e_form_raw_ev_per_atom": -0.163}